(1)
This record from Alexandria via LeMat-Bulk describes TaMoN2 at its PBEsol-relaxed geometry. The functional is meta-GGA SCAN.

Lattice parameters (Å, degrees): 3.8152 3.8152 3.8152 60.00 60.00 60.00
Last column: nearest neighbours and their distance in Å.
Sites, in units of the cell vectors:
N (0.2500, 0.2500, 0.2500)  4 Ta 2.34, 4 Mo 2.34
Ta (0.5000, 0.5000, 0.5000)  8 N 2.34
N (0.7500, 0.7500, 0.7500)  4 Ta 2.34, 4 Mo 2.34
Mo (0.0000, 0.0000, 0.0000)  8 N 2.34

Theoretical density, Mg/m³: 12.89
Calculated volume, Å³/f.u.: 39.3
Uncorrected energy, eV/cell: -120.423



(2)
This record from Alexandria via LeMat-Bulk describes TcTeMoN2 at its PBEsol-relaxed geometry. The functional is meta-GGA SCAN.

Lattice parameters (Å, degrees): 3.8821 3.8821 5.5970 90.00 90.00 90.00
Last column: nearest neighbours and their distance in Å.
Sites, in units of the cell vectors:
Mo (0.0000, 0.0000, 0.0000)  4 N 1.94
N (0.5000, 0.0000, 0.0000)  2 Mo 1.94
N (0.0000, 0.5000, 0.0000)  2 Mo 1.94
Te (0.0000, 0.0000, 0.5000)  4 Tc 2.75, 2 Mo 2.80
Tc (0.5000, 0.5000, 0.5000)  4 Te 2.75

Theoretical density, Mg/m³: 6.88
Calculated volume, Å³/f.u.: 84.3
Uncorrected energy, eV/cell: -121.517



(3)
This record from Alexandria via LeMat-Bulk describes TeMoN2 at its PBEsol-relaxed geometry. The functional is meta-GGA SCAN.

Lattice parameters (Å, degrees): 3.1684 3.1684 6.7701 76.47 76.47 60.00
Last column: nearest neighbours and their distance in Å.
Sites, in units of the cell vectors:
N (0.8996, 0.8996, 0.3013)  1 Mo 1.96
Te (0.5000, 0.5000, 0.5000)  6 N 2.24
Mo (0.0000, 0.0000, 0.0000)  2 N 1.96
N (0.1004, 0.1004, 0.6987)  1 Mo 1.96

Theoretical density, Mg/m³: 7.37
Calculated volume, Å³/f.u.: 56.7
Uncorrected energy, eV/cell: -86.526



(4)
This record from Alexandria via LeMat-Bulk describes TlTeMoN2 at its PBEsol-relaxed geometry. The functional is meta-GGA SCAN.

Lattice parameters (Å, degrees): 4.0189 4.0189 5.5284 90.00 90.00 90.00
Last column: nearest neighbours and their distance in Å.
Sites, in units of the cell vectors:
Tl (0.5000, 0.5000, 0.5000)  4 Te 2.84
N (0.5000, 0.0000, 0.0000)  2 Mo 2.01
Mo (0.0000, 0.0000, 0.0000)  4 N 2.01
Te (0.0000, 0.0000, 0.5000)  2 Mo 2.76, 4 Tl 2.84
N (0.0000, 0.5000, 0.0000)  2 Mo 2.01

Theoretical density, Mg/m³: 8.48
Calculated volume, Å³/f.u.: 89.3
Uncorrected energy, eV/cell: -160.855



(5)
This record from Alexandria via LeMat-Bulk describes TiMoN3 at its PBEsol-relaxed geometry. The functional is meta-GGA SCAN.

Lattice parameters (Å, degrees): 3.8136 3.8136 3.8136 90.00 90.00 90.00
Last column: nearest neighbours and their distance in Å.
Sites, in units of the cell vectors:
Ti (0.0000, 0.0000, 0.0000)  6 N 1.91
N (0.0000, 0.5000, 0.0000)  2 Ti 1.91
N (0.5000, 0.0000, 0.0000)  2 Ti 1.91
Mo (0.5000, 0.5000, 0.5000)  12 N 2.70
N (0.0000, 0.0000, 0.5000)  2 Ti 1.91

Theoretical density, Mg/m³: 5.56
Calculated volume, Å³/f.u.: 55.5
Uncorrected energy, eV/cell: -76.291



(6)
This record from Alexandria via LeMat-Bulk describes Tl2MoN at its PBEsol-relaxed geometry. The functional is meta-GGA SCAN.

Lattice parameters (Å, degrees): 4.6503 4.6503 4.6503 60.00 60.00 60.00
Last column: nearest neighbours and their distance in Å.
Sites, in units of the cell vectors:
Tl (0.7500, 0.7500, 0.7500)  4 Mo 2.85, 4 N 2.85
N (0.0000, 0.0000, 0.0000)  8 Tl 2.85
Tl (0.2500, 0.2500, 0.2500)  4 Mo 2.85, 4 N 2.85
Mo (0.5000, 0.5000, 0.5000)  8 Tl 2.85

Theoretical density, Mg/m³: 12.11
Calculated volume, Å³/f.u.: 71.1
Uncorrected energy, eV/cell: -181.903



(7)
This record from Alexandria via LeMat-Bulk describes MoW3N at its PBEsol-relaxed geometry. The functional is meta-GGA SCAN.

Lattice parameters (Å, degrees): 4.6364 4.6364 4.6364 90.00 90.00 90.00
Last column: nearest neighbours and their distance in Å.
Sites, in units of the cell vectors:
W (0.0000, 0.0000, 0.5000)  2 Mo 2.32
W (0.5000, 0.0000, 0.0000)  2 Mo 2.32
N (0.5000, 0.5000, 0.5000)  12 W 3.28
W (0.0000, 0.5000, 0.0000)  2 Mo 2.32
Mo (0.0000, 0.0000, 0.0000)  6 W 2.32

Theoretical density, Mg/m³: 11.02
Calculated volume, Å³/f.u.: 99.7
Uncorrected energy, eV/cell: -236.307



(8)
This record from Alexandria via LeMat-Bulk describes ZnMo3N at its PBEsol-relaxed geometry. The functional is meta-GGA SCAN.

Lattice parameters (Å, degrees): 4.0552 4.0552 4.0552 90.00 90.00 90.00
Last column: nearest neighbours and their distance in Å.
Sites, in units of the cell vectors:
Zn (0.5000, 0.5000, 0.5000)  12 Mo 2.87
Mo (0.0000, 0.0000, 0.5000)  2 N 2.03
N (0.0000, 0.0000, 0.0000)  6 Mo 2.03
Mo (0.5000, 0.0000, 0.0000)  2 N 2.03
Mo (0.0000, 0.5000, 0.0000)  2 N 2.03

Theoretical density, Mg/m³: 9.14
Calculated volume, Å³/f.u.: 66.7
Uncorrected energy, eV/cell: -127.774